Entry 1:
5
Lattice="5.112 0.000 0.000 0.000 4.902 12.666 0.000 -4.902 12.666" Properties=species:S:1:pos:R:3 comment="Cs3RbAu (GGA-PBE, relaxed)" e_tot_ev_per_atom=-1.379 total_magnetization_mub_per_fu=0.0 dos_at_fermi_per_ev_fu=3.57 formation_enthalpy_0k_mev_per_atom=-18 pbc="T T T"
Cs 0.000 0.000 0.000
Cs 2.556 -2.494 8.578
Cs 2.556 2.494 8.578
Rb 2.556 0.000 4.369
Au 0.000 0.000 21.797

Entry 2:
4
Lattice="-2.372 2.372 4.960 2.372 -2.372 4.960 2.372 2.372 -4.960" Properties=species:S:1:pos:R:3 comment="SrY2Si (GGA-PBE, relaxed)" e_tot_ev_per_atom=-4.974 formation_energy_uncorrected_mev_per_atom=34 total_magnetization_mub_per_fu=0.0 dos_at_fermi_per_ev_fu=4.10 pbc="T T T"
Sr 0.000 0.000 0.000
Y 2.372 0.000 2.480
Y 0.000 2.372 2.480
Si 0.000 0.000 4.960

Entry 3:
10
Lattice="4.690 0.000 0.000 0.201 8.277 0.000 0.666 3.931 7.395" Properties=species:S:1:pos:R:3 comment="CuAgTe3 (GGA-PBE, relaxed)" e_tot_ev_per_atom=-3.244 formation_energy_uncorrected_mev_per_atom=30 total_magnetization_mub_per_fu=0.0 dos_at_fermi_per_ev_fu=2.32 pbc="T T T"
Cu 1.231 3.849 0.540
Cu 4.326 8.359 6.854
Ag 2.632 7.445 2.019
Ag 2.926 4.763 5.375
Te 0.968 1.017 0.524
Te 1.461 5.085 3.018
Te 2.034 9.090 5.689
Te 3.524 3.118 1.705
Te 4.096 7.123 4.376
Te 4.589 11.191 6.871

Entry 4:
12
Lattice="6.553 -3.573 0.000 6.553 3.573 0.000 0.000 0.000 6.649" Properties=species:S:1:pos:R:3 comment="Tl3OF2 (GGA-PBE, relaxed)" e_tot_ev_per_atom=-3.876 formation_energy_uncorrected_mev_per_atom=-1243 total_magnetization_mub_per_fu=0.0 dos_at_fermi_per_ev_fu=1.91 pbc="T T T"
Tl 6.553 2.633 3.325
Tl 4.425 1.265 6.421
Tl 8.681 1.265 6.421
Tl 4.425 -1.265 3.096
Tl 8.681 -1.265 3.096
Tl 6.553 -2.633 0.000
O 6.553 2.505 5.587
O 6.553 -2.505 2.263
F 4.881 1.193 2.402
F 8.226 1.193 2.402
F 4.881 -1.193 5.726
F 8.226 -1.193 5.726

Entry 5:
16
Lattice="6.569 0.000 0.000 0.000 13.150 0.000 0.000 0.000 4.470" Properties=species:S:1:pos:R:3 comment="Pa2In5Ge (GGA-PBE, relaxed)" e_tot_ev_per_atom=-4.853 total_magnetization_mub_per_fu=0.0 dos_at_fermi_per_ev_fu=9.69 formation_enthalpy_0k_mev_per_atom=-190 pbc="T T T"
Pa 1.380 1.472 0.000
Pa 1.905 8.047 0.000
Pa 4.664 5.103 0.000
Pa 5.190 11.679 0.000
In 0.000 6.575 2.235
In 0.238 9.873 2.235
In 1.426 4.834 0.000
In 1.859 11.410 0.000
In 3.047 3.297 2.235
In 3.285 0.000 2.235
In 3.522 9.853 2.235
In 4.711 1.741 0.000
In 5.143 8.316 0.000
In 6.332 3.278 2.235
Ge 0.000 0.000 2.235
Ge 3.285 6.575 2.235

Entry 6:
4
Lattice="4.536 0.000 0.000 0.000 4.536 0.000 0.000 0.000 4.747" Properties=species:S:1:pos:R:3 comment="SmSc2Ag (GGA-PBE, relaxed)" e_tot_ev_per_atom=-5.047 total_magnetization_mub_per_fu=0.7 dos_at_fermi_per_ev_fu=6.91 formation_enthalpy_0k_mev_per_atom=12 pbc="T T T"
Sm 0.000 0.000 0.000
Sc 0.000 2.268 2.373
Sc 2.268 0.000 2.373
Ag 2.268 2.268 0.000